[1]
TlTeSe | PBE | relaxed

The space group is P3m1 (No. 156) and the conventional cell measures 4.3581, 4.3581 and 5.2964 Å, with angles of 90.00, 90.00 and 120.00 degrees. Symmetry generates all atoms from Tl at (0.0000, 0.0000, 0.0000), Te at (0.3333, 0.6667, 0.6518) and Se at (0.6667, 0.3333, 0.3040).

The crystal system is trigonal. The value obtained for the calculated volume is 87.1 Å³/cell. The total moment is 0.0 Bohr magnetons per cell. Its uncorrected formation energy is 29 meV/atom.


[2]
Tl8TeSe6 | PBE | relaxed

The space group is Pmn2_1 (No. 31) and the conventional cell measures 10.0280, 11.0522 and 8.9305 Å, with angles of 90.00, 90.00 and 90.00 degrees. Symmetry generates all atoms from Tl at (0.0000, 0.1409, 0.0000), Tl at (0.0000, 0.3386, 0.3977), Tl at (0.1993, 0.0485, 0.4377), Tl at (0.2115, 0.7496, 0.2146), Tl at (0.2118, 0.5085, 0.9618), Te at (0.0000, 0.7423, 0.7091), Se at (0.0000, 0.0065, 0.7199), Se at (0.0000, 0.4904, 0.6965), Se at (0.0000, 0.5500, 0.2041), Se at (0.0000, 0.9469, 0.2156) and Se at (0.2291, 0.7585, 0.5647).

The crystal system is orthorhombic. The value obtained for the calculated volume is 989.8 Å³/cell. The total moment is 0.0 Bohr magnetons per cell. Its uncorrected formation energy is -261 meV/atom.


[3]
TlTe2Se | PBE | relaxed

The space group is P4mm (No. 99) and the conventional cell measures 4.4964, 4.4964 and 7.3601 Å, with angles of 90.00, 90.00 and 90.00 degrees. Symmetry generates all atoms from Tl at (0.0000, 0.0000, 0.0000), Te at (0.0000, 0.0000, 0.4926), Te at (0.5000, 0.5000, 0.4454) and Se at (0.5000, 0.5000, 0.1023).

The crystal system is tetragonal. The value obtained for the calculated volume is 148.8 Å³/cell. The total moment is 0.0 Bohr magnetons per cell. Its uncorrected formation energy is -95 meV/atom.


[4]
Tl4Te2Se5 | PBE | relaxed

The space group is Cm (No. 8) and the conventional cell measures 11.1860, 7.6126 and 9.1423 Å, with angles of 90.00, 90.13 and 90.00 degrees. Symmetry generates all atoms from Tl at (0.0000, 0.0000, 0.0000), Tl at (0.0477, 0.5000, 0.1821), Tl at (0.1775, 0.5000, 0.8275), Tl at (0.2326, 0.0000, 0.5010), Te at (0.3154, 0.0000, 0.9000), Te at (0.3282, 0.5000, 0.4098), Se at (0.1175, 0.5000, 0.5091), Se at (0.3178, 0.2420, 0.2284) and Se at (0.3991, 0.2562, 0.7483).

The crystal system is monoclinic. The value obtained for the calculated volume is 778.5 Å³/cell. The total moment is 0.0 Bohr magnetons per cell. Its uncorrected formation energy is -204 meV/atom.